[1]
Density functional theory data (GGA-PBE) for crystalline Mg2ZnCu2 at its relaxed geometry.

a b c (Å): 6.398 6.398 6.398
angles (deg): 143.81 143.81 52.11
Element x y z (fractional)
Mg 0.250 0.750 0.500
Mg 0.750 0.250 0.500
Zn 0.000 0.000 0.000
Cu 0.400 0.400 0.000
Cu 0.600 0.600 0.000

## Properties
DFT formation energy in meV/atom: 255
Volume in Å³ per atom: 18.16
Space group: I4/mmm
N(E_F) in states/eV per atom: 0.3988
Total magnetization in μB per formula unit: 0.00


[2]
Density functional theory data (GGA-PBE) for crystalline MgZn2Cu3 at its relaxed geometry.

a b c (Å): 5.066 5.066 5.066
angles (deg): 58.24 58.24 58.24
Element x y z (fractional)
Mg 0.000 0.000 0.000
Zn 0.390 0.390 0.390
Zn 0.610 0.610 0.610
Cu 0.000 0.000 0.500
Cu 0.000 0.500 0.000
Cu 0.500 0.000 0.000

## Properties
DFT formation energy in meV/atom: 30
Volume in Å³ per atom: 14.71
Space group: R-3m
N(E_F) in states/eV per atom: 0.1829
Total magnetization in μB per formula unit: 0.00


[3]
Density functional theory data (GGA-PBE) for crystalline MgZn2Cu2 at its relaxed geometry.

a b c (Å): 3.619 3.619 12.034
angles (deg): 90.00 90.00 90.00
Element x y z (fractional)
Mg 0.250 0.250 0.235
Mg 0.750 0.750 0.765
Zn 0.250 0.250 0.647
Zn 0.250 0.750 0.000
Zn 0.750 0.250 0.000
Zn 0.750 0.750 0.353
Cu 0.250 0.250 0.849
Cu 0.250 0.750 0.500
Cu 0.750 0.250 0.500
Cu 0.750 0.750 0.151

## Properties
DFT formation energy in meV/atom: -7
Volume in Å³ per atom: 15.76
Space group: P4/nmm
N(E_F) in states/eV per atom: 0.3670
Total magnetization in μB per formula unit: 0.00


[4]
Density functional theory data (GGA-PBE) for crystalline MgZn2Cu at its relaxed geometry.

a b c (Å): 4.370 4.370 8.088
angles (deg): 90.00 90.00 120.00
Element x y z (fractional)
Mg 0.333 0.667 0.250
Mg 0.667 0.333 0.750
Zn 0.333 0.667 0.587
Zn 0.333 0.667 0.913
Zn 0.667 0.333 0.087
Zn 0.667 0.333 0.413
Cu 0.000 0.000 0.250
Cu 0.000 0.000 0.750

## Properties
DFT formation energy in meV/atom: 131
Volume in Å³ per atom: 16.72
Space group: P6_3/mmc
N(E_F) in states/eV per atom: 0.1213
Total magnetization in μB per formula unit: 0.00


[5]
Density functional theory data (GGA-PBE) for crystalline MgZnCu at its relaxed geometry.

a b c (Å): 5.057 5.057 5.061
angles (deg): 90.00 90.00 131.88
Element x y z (fractional)
Mg 0.214 0.786 0.750
Mg 0.786 0.214 0.250
Zn 0.500 0.500 0.000
Zn 0.500 0.500 0.500
Cu 0.077 0.923 0.250
Cu 0.923 0.077 0.750

## Properties
DFT formation energy in meV/atom: -148
Volume in Å³ per atom: 16.06
Space group: Cmcm
N(E_F) in states/eV per atom: 0.2517
Total magnetization in μB per formula unit: 0.00


[6]
Density functional theory data (GGA-PBE) for crystalline MgZnCu2 at its relaxed geometry.

a b c (Å): 5.783 5.783 5.783
angles (deg): 152.65 133.89 54.44
Element x y z (fractional)
Mg 0.000 0.000 0.000
Zn 0.500 0.500 0.000
Cu 0.263 0.263 0.000
Cu 0.737 0.737 0.000

## Properties
DFT formation energy in meV/atom: 264
Volume in Å³ per atom: 15.92
Space group: Immm
N(E_F) in states/eV per atom: 0.3848
Total magnetization in μB per formula unit: 0.00